Record 1
Entry from Alexandria: an optimized crystal structure of ZrTl2 (PBE-GGA).

The structure in POSCAR format:
```
ZrTl2
1.0
5.325 0.000 0.000
-2.662 4.612 0.000
0.000 0.000 6.113
Zr Tl
2 4
Direct
0.333 0.667 0.250
0.667 0.333 0.750
0.000 0.000 0.000
0.000 0.000 0.500
0.333 0.667 0.750
0.667 0.333 0.250
```

## Properties
Formation energy, meV per atom: 251
Fermi-level density of states, states/eV per cell: 5.24
Total DFT energy (no corrections), eV per atom: -4.176

---

Record 2
Entry from Alexandria: an optimized crystal structure of V5Co2Ir2Ru (PBE-GGA).

The structure in POSCAR format:
```
V5Co2Ir2Ru
1.0
9.510 0.000 0.000
0.000 9.510 0.000
0.000 0.000 2.982
V Co Ir Ru
10 4 4 2
Direct
0.000 0.500 0.000
0.076 0.197 0.000
0.197 0.924 0.000
0.303 0.424 0.000
0.424 0.697 0.000
0.500 0.000 0.000
0.576 0.303 0.000
0.697 0.576 0.000
0.803 0.076 0.000
0.924 0.803 0.000
0.129 0.371 0.500
0.371 0.871 0.500
0.629 0.129 0.500
0.871 0.629 0.500
0.172 0.672 0.500
0.328 0.172 0.500
0.672 0.828 0.500
0.828 0.328 0.500
0.000 0.000 0.500
0.500 0.500 0.500
```

## Properties
Formation energy, meV per atom: -21
Fermi-level density of states, states/eV per cell: 21.07
Total DFT energy (no corrections), eV per atom: -8.701

---

Record 3
Entry from Alexandria: an optimized crystal structure of Na3Ce3ThS8 (PBE-GGA).

The structure in POSCAR format:
```
Na3Ce3ThS8
1.0
4.168 2.407 6.656
-4.168 2.407 6.656
0.000 -4.813 6.656
Na Ce Th S
3 3 1 8
Direct
0.000 0.500 0.500
0.500 0.000 0.500
0.500 0.500 0.000
0.000 0.000 0.500
0.000 0.500 0.000
0.500 0.000 0.000
0.500 0.500 0.500
0.244 0.244 0.244
0.248 0.738 0.738
0.262 0.262 0.752
0.262 0.752 0.262
0.738 0.248 0.738
0.738 0.738 0.248
0.752 0.262 0.262
0.756 0.756 0.756
```

## Properties
Fermi-level density of states, states/eV per cell: 19.11
Total DFT energy (no corrections), eV per atom: -5.914
Energy relative to the elements, uncorrected, meV/atom: -1767